Computed, not measured: an optimized crystal structure of ScBeOs2 at the GGA-PBE level of DFT.

Lattice parameters (Å, degrees): 5.4974 8.2869 2.9300 90.00 122.09 90.00
With the nearest neighbours (Å) after each atom.
Space group C2/m (No. 12)
Inequivalent atoms, fractional coordinates:
Sc 0.0000 0.0000 0.0000 (multiplicity 2)  4 Be 2.75, 8 Os 2.76-2.95, 2 Sc 2.93
Be 0.0000 0.5000 0.0000 (multiplicity 2)  4 Os 2.32
Os 0.0000 0.2823 0.5000 (multiplicity 4)  2 Be 2.32

Values from the calculation:
total energy: -32.8 eV per formula unit
total magnetic moment: 0.00 μB/cell


Computed, not measured: an optimized crystal structure of KNaPuF6 at the GGA-PBE level of DFT.

Lattice parameters (Å, degrees): 6.0841 6.0841 10.8029 90.00 90.00 120.00
With the nearest neighbours (Å) after each atom.
Space group P-31c (No. 163)
Inequivalent atoms, fractional coordinates:
K 0.0000 0.0000 0.0000 (multiplicity 2)  6 F 2.70
Na 0.3333 0.6667 0.2500 (multiplicity 2)  6 F 2.36
Pu 0.3333 0.6667 0.7500 (multiplicity 2)  6 F 2.16
F 0.0243 0.3766 0.6427 (multiplicity 12)  1 Pu 2.16, 1 Na 2.36

Values from the calculation:
total energy: -57.0 eV per formula unit
formation energy from raw total energies: -3.225 eV per atom
total magnetic moment: 8.00 μB/cell


Computed, not measured: an optimized crystal structure of Co2AuSe at the GGA-PBE level of DFT.

Lattice parameters (Å, degrees): 2.9814 2.9814 22.7902 90.00 90.00 120.00
With the nearest neighbours (Å) after each atom.
Space group R-3m (No. 166, hexagonal axes)
Inequivalent atoms, fractional coordinates:
Co 0.0000 0.0000 0.2413 (multiplicity 6)  3 Se 2.42
Au 0.0000 0.0000 0.0000 (multiplicity 3)  6 Co 2.71, 6 Au 2.98
Se 0.0000 0.0000 0.5000 (multiplicity 3)  6 Co 2.42

Values from the calculation:
energy above the most stable polymorph in this dataset: 77 meV per atom
total energy: -19.9 eV per formula unit
formation energy from raw total energies: 0.275 eV per atom
total magnetic moment: 7.46 μB/cell


Computed, not measured: an optimized crystal structure of CsBa2Li2Bi2 at the GGA-PBE level of DFT.

Lattice parameters (Å, degrees): 5.3127 5.3127 35.6195 90.00 90.00 120.00
With the nearest neighbours (Å) after each atom.
Space group R-3m (No. 166, hexagonal axes)
Inequivalent atoms, fractional coordinates:
Cs 0.0000 0.0000 0.0000 (multiplicity 3)  6 Li 4.18, 6 Bi 4.28, 2 Ba 4.67
Ba 0.0000 0.0000 0.1311 (multiplicity 6)  3 Bi 3.50, 3 Li 3.57
Li 0.0000 0.0000 0.4131 (multiplicity 6)  3 Bi 3.07
Bi 0.0000 0.0000 0.2497 (multiplicity 6)  3 Li 3.07

Values from the calculation:
total energy: -20.3 eV per formula unit
total magnetic moment: 2.69 μB/cell


Computed, not measured: an optimized crystal structure of ZrPb at the GGA-PBE level of DFT.

Lattice parameters (Å, degrees): 3.3241 3.3241 34.3178 90.00 90.00 120.00
With the nearest neighbours (Å) after each atom.
Space group R-3m (No. 166, hexagonal axes)
Inequivalent atoms, fractional coordinates:
Zr 0.0000 0.0000 0.1315 (multiplicity 6)  9 Zr 3.09-3.32, 3 Pb 3.39
Pb 0.0000 0.0000 0.3834 (multiplicity 6)  6 Pb 3.32, 3 Zr 3.39

Values from the calculation:
total energy: -12.2 eV per formula unit
total magnetic moment: 0.00 μB/cell


Computed, not measured: an optimized crystal structure of Pm2Ga4Cu3Ir at the GGA-PBE level of DFT.

Lattice parameters (Å, degrees): 4.1700 4.1700 10.3682 90.00 90.00 90.00
With the nearest neighbours (Å) after each atom.
Space group P-4m2 (No. 115)
Inequivalent atoms, fractional coordinates:
Pm 0.0000 0.5000 0.2493 (multiplicity 2)  8 Ga 3.19-3.33, 6 Cu 3.19-3.32, 2 Ir 3.32
Ga 0.0000 0.0000 0.5000 (multiplicity 1)  4 Cu 2.50
Ga 0.0000 0.5000 0.8670 (multiplicity 2)  3 Cu 2.43-2.50, 2 Ir 2.50
Ga 0.5000 0.5000 0.5000 (multiplicity 1)  4 Cu 2.50
Cu 0.0000 0.0000 0.0000 (multiplicity 1)  4 Ga 2.50
Cu 0.0000 0.5000 0.6325 (multiplicity 2)  5 Ga 2.43-2.50
Ir 0.5000 0.5000 0.0000 (multiplicity 1)  4 Ga 2.50

Values from the calculation:
total energy: -47.8 eV per formula unit
total magnetic moment: 0.00 μB/cell


Computed, not measured: an optimized crystal structure of AlCuP2 at the GGA-PBE level of DFT.

Lattice parameters (Å, degrees): 7.0779 3.6554 5.1656 90.00 105.37 90.00
With the nearest neighbours (Å) after each atom.
Space group Cm (No. 8)
Inequivalent atoms, fractional coordinates:
Al 0.0000 0.0000 0.0000 (multiplicity 2)  5 P 2.43-2.67, 1 Cu 2.44
Cu 0.3500 0.5000 0.5158 (multiplicity 2)  5 P 2.30-2.42, 1 Al 2.44
P 0.0696 0.5000 0.6596 (multiplicity 2)  3 Cu 2.30-2.39, 1 P 2.43
P 0.3505 0.0000 0.2088 (multiplicity 2)  2 Cu 2.42, 3 Al 2.43-2.50, 1 P 2.43

Values from the calculation:
total energy: -19.1 eV per formula unit
total magnetic moment: 0.00 μB/cell


Computed, not measured: an optimized crystal structure of LiScAg2 at the GGA-PBE level of DFT.

Lattice parameters (Å, degrees): 7.3810 7.3810 5.6415 90.00 90.00 90.00
With the nearest neighbours (Å) after each atom.
Space group I-42d (No. 122)
Inequivalent atoms, fractional coordinates:
Li 0.0000 0.0000 0.0000 (multiplicity 4)  4 Ag 2.53, 2 Sc 2.82
Sc 0.0000 0.0000 0.5000 (multiplicity 4)  2 Li 2.82, 4 Ag 2.89
Ag 0.2149 0.2500 0.1250 (multiplicity 8)  2 Li 2.53

Values from the calculation:
total energy: -13.7 eV per formula unit
total magnetic moment: 0.00 μB/cell